Record 1
Material: ScAlCd
Method: DFT, PBE-GGA
State: optimized geometry

Output
- Fermi-level density of states (states/eV per cell) = 6.7
- formation energy (eV per formula unit) = -0.53
- calculated volume (Å³ per atom) = 21.16

Cell and atoms, written as POSCAR:
```
ScAlCd
1.0
-4.068 0.052 0.993
0.384 -3.775 1.771
1.585 3.132 6.331
Cd Al Sc
2 2 2
direct
0.000 0.500 0.764
0.500 0.000 0.236
0.500 0.500 0.500
0.000 0.000 0.500
0.000 0.500 0.175
0.500 0.000 0.825
```

=====

Record 2
Material: Rh2PbAu
Method: DFT, PBE-GGA
State: optimized geometry

Output
- Fermi-level density of states (states/eV per cell) = 5.1
- formation energy (eV per formula unit) = 0.86
- calculated volume (Å³ per atom) = 18.64

Cell and atoms, written as POSCAR:
```
Rh2PbAu
1.0
-2.200 1.338 1.994
1.294 -1.617 2.513
4.365 5.374 1.211
Rh Pb Au
2 1 1
direct
0.500 0.500 0.226
0.000 0.000 0.044
0.500 0.500 0.772
0.000 0.000 0.458
```

=====

Record 3
Material: Na2TbNd3S6
Method: DFT, PBE-GGA
State: optimized geometry

Output
- Fermi-level density of states (states/eV per cell) = 3.2
- calculated volume (Å³ per atom) = 23.41
- formation energy from raw total energies (meV/atom) = -1868

Cell and atoms, written as POSCAR:
```
Na2TbNd3S6
1.0
-3.187 -5.176 -3.487
1.800 -0.895 6.714
-5.416 4.359 0.818
S Tb Na Nd
6 1 2 3
direct
0.918 0.593 0.755
0.593 0.918 0.755
0.241 0.241 0.750
0.407 0.082 0.245
0.082 0.407 0.245
0.759 0.759 0.250
0.000 0.000 0.000
0.334 0.666 0.000
0.666 0.334 0.000
0.170 0.830 0.500
0.500 0.500 0.500
0.830 0.170 0.500
```

=====

Record 4
Material: K3VRe
Method: DFT, PBE-GGA
State: optimized geometry

Output
- Fermi-level density of states (states/eV per cell) = 18.6
- formation energy (eV per formula unit) = 10.55
- energy above the lowest structure with this stoichiometry (eV per formula unit) = 0.00
- calculated volume (Å³ per atom) = 52.27

Cell and atoms, written as POSCAR:
```
K3VRe
1.0
-4.668 -0.184 -4.365
3.753 -3.439 -3.868
-2.236 -5.387 2.619
K V Re
3 1 1
direct
0.000 0.000 0.500
0.500 0.000 0.000
0.000 0.500 0.000
0.500 0.500 0.500
0.000 0.000 0.000
```

=====

Record 5
Material: YCd3Tc
Method: DFT, PBE-GGA
State: optimized geometry

Output
- Fermi-level density of states (states/eV per cell) = 5.4
- formation energy (eV per formula unit) = 7.84
- energy above the lowest structure with this stoichiometry (eV per formula unit) = 5.18
- calculated volume (Å³ per atom) = 37.06

Cell and atoms, written as POSCAR:
```
YCd3Tc
1.0
-2.226 1.232 -5.102
-2.030 -5.313 -0.397
-4.840 1.662 2.513
Cd Y Tc
3 1 1
direct
0.000 0.500 0.000
0.000 0.000 0.500
0.500 0.000 0.000
0.000 0.000 0.000
0.500 0.500 0.500
```

=====

Record 6
Material: BeFePS2
Method: DFT, PBE-GGA
State: optimized geometry

Output
- Fermi-level density of states (states/eV per cell) = 4.5
- energy above the lowest structure with this stoichiometry (eV per formula unit) = 0.00
- calculated volume (Å³ per atom) = 15.89
- formation energy from raw total energies (meV/atom) = 692

Cell and atoms, written as POSCAR:
```
BeFePS2
1.0
4.430 0.000 0.000
0.000 4.430 0.000
0.000 0.000 4.048
S P Be Fe
2 1 1 1
direct
0.000 0.500 0.000
0.500 0.000 0.000
0.000 0.000 0.500
0.000 0.000 0.000
0.500 0.500 0.500
```

=====

Record 7
Material: FeTeAs2
Method: DFT, PBE-GGA
State: optimized geometry

Output
- Fermi-level density of states (states/eV per cell) = 5.5
- calculated volume (Å³ per atom) = 20.90
- formation energy from raw total energies (meV/atom) = 340

Cell and atoms, written as POSCAR:
```
FeTeAs2
1.0
-4.347 1.864 -0.636
1.921 -0.916 -4.270
-2.827 -3.052 -2.336
As Te Fe
2 1 1
direct
0.000 0.000 0.000
0.500 0.000 0.500
0.500 0.500 0.000
0.000 0.500 0.500
```

=====

Record 8
Material: Cs2CdCu2H6
Method: DFT, PBE-GGA
State: optimized geometry

Output
- Fermi-level density of states (states/eV per cell) = 1.1
- calculated volume (Å³ per atom) = 16.43

Cell and atoms, written as POSCAR:
```
Cs2CdCu2H6
1.0
-5.051 3.079 0.109
0.110 -5.572 1.971
2.929 4.659 4.128
H Cs Cu Cd
6 2 2 1
direct
0.740 0.964 0.705
0.777 0.036 0.295
0.741 0.481 0.705
0.260 0.036 0.295
0.259 0.519 0.295
0.223 0.964 0.705
0.278 0.556 0.834
0.722 0.444 0.166
0.093 0.187 0.280
0.907 0.813 0.720
0.500 0.000 0.500
```

=====

Which VASP energy belongs to each record? In order, -3.839, -5.207, -5.730, -2.861, -2.347, -4.478, -4.886, -2.781 eV per atom.